This record from Alexandria via LeMat-Bulk describes crystalline K2CoMo at its relaxed geometry. The functional is GGA-PBE.

Summary:
The calculation puts the calculated formation energy at 1.100 eV/atom. The value obtained for the raw total energy is -31.47 eV per cell. Its energy above the most stable polymorph in this dataset is 297.0 meV per atom.

a = 3.399 Å, b = 6.110 Å, c = 11.871 Å
α = 90.00°, β = 90.00°, γ = 90.00°
Space group Imm2 (No. 44)
One atom of each set of equivalent atoms:
K 0.000 0.000 0.000 x2
K 0.000 0.500 0.198 x2
Co 0.000 0.000 0.434 x2
Mo 0.000 0.500 0.816 x2